Record 1
! CaMg2Si GGA-PBEsol optimized geometry; values from VASP
! Formation energy (no corrections), kJ/mol of atoms: -6.8
! Magnetic moment, μB per cell: 0.000
&SYSTEM
  ibrav = 0, nat = 4, ntyp = 3
/
ATOMIC_SPECIES
Ca 40.08 Ca.upf
Mg 24.30 Mg.upf
Si 28.09 Si.upf
CELL_PARAMETERS angstrom
-2.195 2.195 4.611
2.195 -2.195 4.611
2.195 2.195 -4.611
ATOMIC_POSITIONS angstrom
Ca 0.000 0.000 0.000
Mg 2.195 0.000 2.305
Mg 0.000 2.195 2.305
Si 0.000 0.000 4.611

Record 2
! TeIr GGA-PBEsol optimized geometry; values from VASP
! Formation energy (no corrections), kJ/mol of atoms: 90.3
! Magnetic moment, μB per cell: 0.000
&SYSTEM
  ibrav = 0, nat = 4, ntyp = 2
/
ATOMIC_SPECIES
Te 127.60 Te.upf
Ir 192.22 Ir.upf
CELL_PARAMETERS angstrom
0.000 3.349 3.349
3.349 0.000 3.349
3.349 3.349 0.000
ATOMIC_POSITIONS angstrom
Te 0.837 0.837 0.837
Te 5.860 5.860 5.860
Ir 2.512 2.512 2.512
Ir 4.186 4.186 4.186

Record 3
! RbB3P GGA-PBEsol optimized geometry; values from VASP
! Formation enthalpy at 0 K, meV/atom: 1629.7
! Magnetic moment, μB per cell: 0.000
&SYSTEM
  ibrav = 0, nat = 5, ntyp = 3
/
ATOMIC_SPECIES
Rb 85.47 Rb.upf
B 10.81 B.upf
P 30.97 P.upf
CELL_PARAMETERS angstrom
4.112 0.000 0.000
0.000 4.112 0.000
0.000 0.000 4.112
ATOMIC_POSITIONS angstrom
Rb 0.000 0.000 0.000
B 0.000 2.056 2.056
B 2.056 0.000 2.056
B 2.056 2.056 0.000
P 2.056 2.056 2.056

Record 4
! BaNaNb3 GGA-PBEsol optimized geometry; values from VASP
! Formation enthalpy at 0 K, meV/atom: 2185.7
! Magnetic moment, μB per cell: 0.034
&SYSTEM
  ibrav = 0, nat = 5, ntyp = 3
/
ATOMIC_SPECIES
Ba 137.33 Ba.upf
Na 22.99 Na.upf
Nb 92.91 Nb.upf
CELL_PARAMETERS angstrom
4.970 0.000 0.000
0.000 4.970 0.000
0.000 0.000 4.970
ATOMIC_POSITIONS angstrom
Ba 0.000 0.000 0.000
Na 2.485 2.485 2.485
Nb 0.000 2.485 2.485
Nb 2.485 0.000 2.485
Nb 2.485 2.485 0.000

Record 5
! ZrTl2Ir GGA-PBEsol optimized geometry; values from VASP
! Formation enthalpy at 0 K, meV/atom: 162.6
! Magnetic moment, μB per cell: 0.000
&SYSTEM
  ibrav = 0, nat = 4, ntyp = 3
/
ATOMIC_SPECIES
Zr 91.22 Zr.upf
Tl 204.38 Tl.upf
Ir 192.22 Ir.upf
CELL_PARAMETERS angstrom
-2.388 2.388 3.392
2.388 -2.388 3.392
2.388 2.388 -3.392
ATOMIC_POSITIONS angstrom
Zr 0.000 0.000 0.000
Tl 2.388 0.000 1.696
Tl 0.000 2.388 1.696
Ir 0.000 0.000 3.392

Record 6
! Re2CN GGA-PBEsol optimized geometry; values from VASP
! Formation energy (no corrections), kJ/mol of atoms: 45.9
! Magnetic moment, μB per cell: 0.000
&SYSTEM
  ibrav = 0, nat = 8, ntyp = 3
/
ATOMIC_SPECIES
Re 186.21 Re.upf
C 12.01 C.upf
N 14.01 N.upf
CELL_PARAMETERS angstrom
-2.049 2.049 5.546
2.049 -2.049 5.546
2.049 2.049 -5.546
ATOMIC_POSITIONS angstrom
Re 3.073 0.991 -1.386
Re 0.991 1.024 1.386
Re -1.024 1.058 4.159
Re 1.058 1.024 6.932
C 2.049 0.000 2.773
C 0.000 0.000 5.546
N 0.000 0.000 0.000
N 0.000 2.049 2.773

Record 7
! Ca2MgTc GGA-PBEsol optimized geometry; values from VASP
! Formation enthalpy at 0 K, meV/atom: 583.9
! Magnetic moment, μB per cell: 0.000
&SYSTEM
  ibrav = 0, nat = 4, ntyp = 3
/
ATOMIC_SPECIES
Ca 40.08 Ca.upf
Mg 24.30 Mg.upf
Tc 98.00 Tc.upf
CELL_PARAMETERS angstrom
3.326 -4.460 0.000
3.326 4.460 0.000
0.000 0.000 3.101
ATOMIC_POSITIONS angstrom
Ca 1.663 2.230 0.000
Ca 1.663 -2.230 0.000
Mg 0.000 0.000 1.550
Tc 3.326 0.000 1.550

Record 8
! KAlN2F GGA-PBEsol optimized geometry; values from VASP
! Formation energy (no corrections), kJ/mol of atoms: 86.7
! Magnetic moment, μB per cell: 3.054
&SYSTEM
  ibrav = 0, nat = 5, ntyp = 4
/
ATOMIC_SPECIES
K 39.10 K.upf
Al 26.98 Al.upf
N 14.01 N.upf
F 19.00 F.upf
CELL_PARAMETERS angstrom
4.831 0.000 0.000
0.000 4.831 0.000
0.000 0.000 3.389
ATOMIC_POSITIONS angstrom
K 0.000 0.000 0.000
Al 2.415 2.415 0.000
N 0.000 2.415 1.694
N 2.415 0.000 1.694
F 2.415 2.415 1.694

Record 9
! BH2Se GGA-PBEsol optimized geometry; values from VASP
! E_tot, eV per atom: -3.55
! Magnetic moment, μB per cell: 0.000
&SYSTEM
  ibrav = 0, nat = 8, ntyp = 3
/
ATOMIC_SPECIES
B 10.81 B.upf
H 1.01 H.upf
Se 78.96 Se.upf
CELL_PARAMETERS angstrom
-1.623 1.623 5.896
1.623 -1.623 5.896
1.623 1.623 -5.896
ATOMIC_POSITIONS angstrom
B 1.623 0.811 1.474
B 0.000 0.811 4.422
H 1.623 0.000 0.000
H -0.811 0.811 2.948
H 0.000 0.000 5.896
H 0.811 0.811 2.948
Se 1.623 -0.811 4.422
Se 0.000 2.434 1.474

Record 10
! RbHfIN2 GGA-PBEsol optimized geometry; values from VASP
! Formation energy (no corrections), kJ/mol of atoms: 227.5
! Magnetic moment, μB per cell: 0.409
&SYSTEM
  ibrav = 0, nat = 5, ntyp = 4
/
ATOMIC_SPECIES
Rb 85.47 Rb.upf
Hf 178.49 Hf.upf
I 126.90 I.upf
N 14.01 N.upf
CELL_PARAMETERS angstrom
4.294 0.000 0.000
0.000 4.294 0.000
0.000 0.000 5.796
ATOMIC_POSITIONS angstrom
Rb 0.000 0.000 0.000
Hf 2.147 2.147 2.898
I 0.000 0.000 2.898
N 0.000 2.147 0.000
N 2.147 0.000 0.000

Record 11
! ZrNbAl6 GGA-PBEsol optimized geometry; values from VASP
! Formation enthalpy at 0 K, meV/atom: -447.1
! Magnetic moment, μB per cell: 0.000
&SYSTEM
  ibrav = 0, nat = 8, ntyp = 3
/
ATOMIC_SPECIES
Zr 91.22 Zr.upf
Nb 92.91 Nb.upf
Al 26.98 Al.upf
CELL_PARAMETERS angstrom
3.872 0.000 0.000
0.000 3.872 0.000
0.000 0.000 8.773
ATOMIC_POSITIONS angstrom
Zr 0.000 0.000 0.000
Nb 1.936 1.936 4.387
Al 0.000 0.000 4.387
Al 0.000 1.936 2.241
Al 0.000 1.936 6.533
Al 1.936 0.000 2.241
Al 1.936 0.000 6.533
Al 1.936 1.936 0.000

Record 12
! Zn2IrCl GGA-PBEsol optimized geometry; values from VASP
! Formation energy (no corrections), kJ/mol of atoms: 43.0
! Magnetic moment, μB per cell: 0.000
&SYSTEM
  ibrav = 0, nat = 4, ntyp = 3
/
ATOMIC_SPECIES
Zn 65.41 Zn.upf
Ir 192.22 Ir.upf
Cl 35.45 Cl.upf
CELL_PARAMETERS angstrom
0.000 3.091 3.091
3.091 0.000 3.091
3.091 3.091 0.000
ATOMIC_POSITIONS angstrom
Zn 0.000 0.000 0.000
Zn 1.545 1.545 1.545
Ir 3.091 3.091 3.091
Cl 4.636 4.636 4.636